Entry 1:
VASP calculation (PBE) on SiRuCl3 after structural relaxation.

Calculated values
Total DFT energy (no corrections), eV per atom: -3.546
Uncorrected formation energy, kJ/mol of formula units: 242.2
Energy above the most stable polymorph in this dataset, meV/atom: 126

abc: 4.948 4.948 4.948
angles: 90.00 90.00 90.00
Element x y z (fractional)
Ru  0.500  0.500  0.500
Si  0.000  0.000  0.000
Cl  0.000  0.500  0.000
Cl  0.000  0.000  0.500
Cl  0.500  0.000  0.000



Entry 2:
VASP calculation (PBE) on La2TiSi3Pt4 after structural relaxation.

Calculated values
Total DFT energy (no corrections), eV per atom: -6.912
Uncorrected formation energy, kJ/mol of formula units: -1055.8

abc: 4.338 4.338 10.038
angles: 90.00 90.00 90.00
Element x y z (fractional)
La  0.500  0.000  0.249
La  0.000  0.500  0.751
Ti  0.500  0.500  0.500
Si  0.000  0.000  0.500
Si  0.500  0.000  0.875
Si  0.000  0.500  0.125
Pt  0.500  0.500  0.000
Pt  0.000  0.000  0.000
Pt  0.500  0.000  0.634
Pt  0.000  0.500  0.366



Entry 3:
VASP calculation (PBE) on KScSi2 after structural relaxation.

Calculated values
Total DFT energy (no corrections), eV per atom: -3.966
Uncorrected formation energy, kJ/mol of formula units: 232.8
Energy above the most stable polymorph in this dataset, meV/atom: 852

abc: 4.981 4.981 4.981
angles: 60.00 60.00 60.00
Element x y z (fractional)
K  0.500  0.500  0.500
Sc  0.750  0.750  0.750
Si  0.000  0.000  0.000
Si  0.250  0.250  0.250



Entry 4:
VASP calculation (PBE) on GaAg5 after structural relaxation.

Calculated values
Total DFT energy (no corrections), eV per atom: -2.866
Energy above the most stable polymorph in this dataset, meV/atom: 16
Energy relative to the elements, eV per atom: 0.01

abc: 3.245 4.658 7.390
angles: 108.37 90.00 90.00
Element x y z (fractional)
Ga  0.000  0.000  0.000
Ag  0.000  0.676  0.353
Ag  0.000  0.324  0.647
Ag  0.500  0.500  0.000
Ag  0.500  0.154  0.308
Ag  0.500  0.846  0.692



Entry 5:
VASP calculation (PBE) on Sc3InCl after structural relaxation.

Calculated values
Total DFT energy (no corrections), eV per atom: -5.237
Uncorrected formation energy, kJ/mol of formula units: -251.4
Energy above the most stable polymorph in this dataset, meV/atom: 0

abc: 4.792 4.792 4.792
angles: 90.00 90.00 90.00
Element x y z (fractional)
Sc  0.000  0.500  0.000
Sc  0.000  0.000  0.500
Sc  0.500  0.000  0.000
Cl  0.000  0.000  0.000
In  0.500  0.500  0.500



Entry 6:
VASP calculation (PBE) on CrFe2Sb after structural relaxation.

Calculated values
Total DFT energy (no corrections), eV per atom: -7.278
Uncorrected formation energy, kJ/mol of formula units: 150.5

abc: 4.051 2.940 5.062
angles: 79.08 90.00 90.00
Element x y z (fractional)
Cr  0.500  0.780  0.749
Fe  0.000  0.020  0.036
Fe  0.500  0.328  0.199
Sb  0.000  0.371  0.516



Entry 7:
VASP calculation (PBE) on DyY3Ho4Se8 after structural relaxation.

Calculated values
Total DFT energy (no corrections), eV per atom: -6.123
Uncorrected formation energy, kJ/mol of formula units: -2680.3

abc: 8.136 8.146 8.137
angles: 119.97 120.00 90.00
Element x y z (fractional)
Dy  0.000  0.500  0.000
Y  0.500  0.500  0.000
Y  0.500  0.500  0.500
Y  0.000  0.500  0.500
Ho  0.500  0.000  0.000
Ho  0.500  0.000  0.500
Ho  0.000  0.000  0.000
Ho  0.000  0.000  0.500
Se  0.251  0.753  0.002
Se  0.251  0.753  0.501
Se  0.249  0.247  0.498
Se  0.752  0.753  0.002
Se  0.248  0.247  0.998
Se  0.751  0.753  0.502
Se  0.749  0.247  0.499
Se  0.749  0.247  0.998



Table of magnetization (μB per atom), in record order: 0.607 0.000 0.000 0.000 0.000 1.720 0.000